<1>
VASP calculation (PBE-GGA) on crystalline MnFe3P2 at its relaxed geometry.

Lattice parameters (Å, degrees): 7.4909 7.4909 8.6176 105.86 105.86 27.56
Positions (direct):
Mn  0.0000  0.0000  0.0000
Mn  0.1604  0.1604  0.7058
Mn  0.8396  0.8396  0.2942
Fe  0.0347  0.0347  0.3474
Fe  0.2117  0.2117  0.3888
Fe  0.3168  0.3168  0.0357
Fe  0.3908  0.3908  0.8077
Fe  0.5000  0.5000  0.5000
Fe  0.6092  0.6092  0.1923
Fe  0.6832  0.6832  0.9643
Fe  0.7883  0.7883  0.6112
Fe  0.9653  0.9653  0.6526
P  0.1899  0.1899  0.1295
P  0.3552  0.3552  0.5384
P  0.4560  0.4560  0.2037
P  0.5440  0.5440  0.7963
P  0.6448  0.6448  0.4616
P  0.8101  0.8101  0.8705

***

<2>
VASP calculation (PBE-GGA) on crystalline MnFe3P2 at its relaxed geometry.

Lattice parameters (Å, degrees): 5.8821 3.3890 10.2034 90.00 90.12 90.00
Positions (direct):
Mn  0.0000  0.0000  0.0000
Mn  0.1067  0.0000  0.7017
Mn  0.6045  0.0000  0.2048
Fe  0.3254  0.5000  0.0789
Fe  0.3267  0.5000  0.3330
Fe  0.4450  0.5000  0.7035
Fe  0.4947  0.0000  0.9087
Fe  0.4986  0.0000  0.5000
Fe  0.8251  0.5000  0.8315
Fe  0.8259  0.5000  0.5771
Fe  0.9445  0.5000  0.2064
Fe  0.9958  0.0000  0.4110
P  0.1925  0.0000  0.2116
P  0.2015  0.5000  0.5370
P  0.2012  0.5000  0.8692
P  0.6930  0.0000  0.7033
P  0.7014  0.5000  0.0377
P  0.7008  0.5000  0.3722

***

Stability ranking, top entry: <2>; the second entry is 145 meV/atom less favorable.

***

<1>
VASP calculation (PBE-GGA) on crystalline MnFe3P at its relaxed geometry.

Lattice parameters (Å, degrees): 4.2097 4.2097 4.2097 90.00 90.00 90.00
Positions (direct):
Mn  0.0000  0.0000  0.0000
Fe  0.0000  0.0000  0.5000
Fe  0.0000  0.5000  0.0000
Fe  0.5000  0.0000  0.0000
P  0.5000  0.5000  0.5000

***

<2>
VASP calculation (PBE-GGA) on crystalline MnFe3P at its relaxed geometry.

Lattice parameters (Å, degrees): 4.1611 4.1611 4.1611 90.00 90.00 90.00
Positions (direct):
Mn  0.0000  0.0000  0.0000
Fe  0.0000  0.5000  0.5000
Fe  0.5000  0.0000  0.5000
Fe  0.5000  0.5000  0.0000
P  0.5000  0.5000  0.5000

***

Stability ranking, top entry: <2>; the second entry is 941 meV/atom less favorable.

***

<1>
VASP calculation (PBE-GGA) on crystalline PaMnFe at its relaxed geometry.

Lattice parameters (Å, degrees): 3.7165 3.7165 4.1121 90.00 90.00 120.00
Positions (direct):
Pa  0.0000  0.0000  0.0000
Mn  0.6667  0.3333  0.5722
Fe  0.3333  0.6667  0.4282

***

<2>
VASP calculation (PBE-GGA) on crystalline PaMnFe at its relaxed geometry.

Lattice parameters (Å, degrees): 5.1098 5.1098 5.1098 127.18 117.54 86.17
Positions (direct):
Pa  0.3736  0.1236  0.2500
Pa  0.6264  0.8764  0.7500
Mn  0.0000  0.0000  0.5000
Mn  0.0000  0.5000  0.0000
Fe  0.0000  0.5000  0.5000
Fe  0.5000  0.5000  0.0000

***

<3>
VASP calculation (PBE-GGA) on crystalline PaMnFe at its relaxed geometry.

Lattice parameters (Å, degrees): 3.7218 3.7218 8.4092 90.00 90.00 120.00
Positions (direct):
Pa  0.3333  0.6667  0.0000
Pa  0.6667  0.3333  0.5000
Mn  0.3333  0.6667  0.3091
Mn  0.6667  0.3333  0.8091
Fe  0.0000  0.0000  0.2255
Fe  0.0000  0.0000  0.7255

***

Stability ranking, top entry: <2>; the second entry is 183 meV/atom less favorable.

***

<1>
VASP calculation (PBE-GGA) on crystalline MnFePb at its relaxed geometry.

Lattice parameters (Å, degrees): 4.3242 4.3242 3.0904 90.00 90.00 120.00
Positions (direct):
Mn  0.0000  0.0000  0.0000
Fe  0.3333  0.6667  0.7641
Pb  0.6667  0.3333  0.4002

***

<2>
VASP calculation (PBE-GGA) on crystalline MnFePb at its relaxed geometry.

Lattice parameters (Å, degrees): 3.1442 3.1442 6.3890 90.00 90.00 120.00
Positions (direct):
Mn  0.0000  0.0000  0.0000
Fe  0.6667  0.3333  0.7214
Pb  0.3333  0.6667  0.3737

***

Stability ranking, top entry: <1>; the second entry is 71 meV/atom less favorable.

***

<1>
VASP calculation (PBE-GGA) on crystalline MnFe6Pd12 at its relaxed geometry.

Lattice parameters (Å, degrees): 7.2376 7.2376 7.2376 110.92 110.92 110.92
Positions (direct):
Mn  0.0000  0.0000  0.0000
Fe  0.0548  0.5800  0.3628
Fe  0.3628  0.0548  0.5800
Fe  0.4200  0.6372  0.9452
Fe  0.5800  0.3628  0.0548
Fe  0.6372  0.9452  0.4200
Fe  0.9452  0.4200  0.6372
Pd  0.1136  0.1648  0.7378
Pd  0.1648  0.7378  0.1136
Pd  0.2058  0.3273  0.4761
Pd  0.2622  0.8864  0.8352
Pd  0.3273  0.4761  0.2058
Pd  0.4761  0.2058  0.3273
Pd  0.5239  0.7942  0.6727
Pd  0.6727  0.5239  0.7942
Pd  0.7378  0.1136  0.1648
Pd  0.7942  0.6727  0.5239
Pd  0.8352  0.2622  0.8864
Pd  0.8864  0.8352  0.2622

***

<2>
VASP calculation (PBE-GGA) on crystalline MnFe6Pd12 at its relaxed geometry.

Lattice parameters (Å, degrees): 6.5529 6.5529 6.5529 88.86 88.86 88.86
Positions (direct):
Mn  0.0000  0.0000  0.0000
Fe  0.1119  0.7292  0.2703
Fe  0.2703  0.1119  0.7292
Fe  0.2708  0.7297  0.8881
Fe  0.7292  0.2703  0.1119
Fe  0.7297  0.8881  0.2708
Fe  0.8881  0.2708  0.7297
Pd  0.0204  0.1528  0.3660
Pd  0.1528  0.3660  0.0204
Pd  0.1977  0.4683  0.5672
Pd  0.3660  0.0204  0.1528
Pd  0.4328  0.8023  0.5317
Pd  0.4683  0.5672  0.1977
Pd  0.5317  0.4328  0.8023
Pd  0.5672  0.1977  0.4683
Pd  0.6340  0.9796  0.8472
Pd  0.8023  0.5317  0.4328
Pd  0.8472  0.6340  0.9796
Pd  0.9796  0.8472  0.6340

***

Stability ranking, top entry: <1>; the second entry is 86 meV/atom less favorable.

***

<1>
VASP calculation (PBE-GGA) on crystalline Mn2FePd at its relaxed geometry.

Lattice parameters (Å, degrees): 8.8960 8.8960 8.8960 157.08 157.08 32.64
Positions (direct):
Mn  0.0563  0.6250  0.9313
Mn  0.3750  0.3063  0.4313
Mn  0.6937  0.1250  0.0687
Mn  0.8750  0.9437  0.5687
Fe  0.0000  0.0000  0.0000
Fe  0.7500  0.2500  0.5000
Pd  0.2500  0.7500  0.5000
Pd  0.5000  0.5000  0.0000

***

<2>
VASP calculation (PBE-GGA) on crystalline Mn2FePd at its relaxed geometry.

Lattice parameters (Å, degrees): 4.1196 4.1196 4.1196 60.00 60.00 60.00
Positions (direct):
Mn  0.2500  0.2500  0.2500
Mn  0.7500  0.7500  0.7500
Fe  0.0000  0.0000  0.0000
Pd  0.5000  0.5000  0.5000

***

<3>
VASP calculation (PBE-GGA) on crystalline Mn2FePd at its relaxed geometry.

Lattice parameters (Å, degrees): 3.6641 3.6641 3.7295 90.00 90.00 90.00
Positions (direct):
Mn  0.0000  0.5000  0.0000
Mn  0.5000  0.0000  0.0000
Fe  0.0000  0.0000  0.5000
Pd  0.5000  0.5000  0.5000

***

Stability ranking, top entry: <3>; the second entry is 318 meV/atom less favorable.